1.
{"formula": "Ce2ScCu2Ge2", "functional": "PBE", "state": "relaxed", "spacegroup": "R-3m, No. 166", "ef_mev_per_atom": -458.9, "mass_density_g_cm3": 7.5, "lattice": [[4.2008, 0.0000, 0.0000], [2.1004, 3.6380, 0.0000], [2.1004, 1.2127, 8.6874]], "species": ["Ge", "Ge", "Cu", "Cu", "Sc", "Ce", "Ce"], "fractional_positions": [[0.7304, 0.7304, 0.8087], [0.2696, 0.2696, 0.1913], [0.6050, 0.6050, 0.1850], [0.3950, 0.3950, 0.8150], [0.0000, 0.0000, 0.0000], [0.8615, 0.8615, 0.4154], [0.1385, 0.1385, 0.5846]]}

---

2.
{"formula": "PPdS2F", "functional": "PBE", "state": "relaxed", "spacegroup": "P4/mmm, No. 123", "formation_energy_uncorrected_kj_per_mol_atoms": 78, "relative_energy_kj_per_mol_atoms": 14.0, "mass_density_g_cm3": 4.2, "lattice": [[-4.5525, 1.7606, -0.3416], [-0.3156, -1.7038, -4.5759], [-1.3029, -3.1257, 1.2537]], "species": ["S", "S", "P", "F", "Pd"], "fractional_positions": [[0.5000, 0.0000, 0.0000], [0.0000, 0.5000, 0.0000], [0.0000, 0.0000, 0.5000], [0.0000, 0.0000, 0.0000], [0.5000, 0.5000, 0.5000]]}